Here is a relaxed structure of HoSi4Ni6 from the Alexandria database. Energies are from GGA-PBE.

The density of states at the Fermi level is 4.6 states/eV/cell. Its total energy is -6.24 eV per atom. As for the crystal system: hexagonal.

The space group is P-6m2 (No. 187) and the conventional cell measures 6.6180, 6.6180 and 3.6885 Å, with angles of 90.00, 90.00 and 120.00 degrees. The inequivalent atoms are Ho at (0.0000, 0.0000, 0.0000), Si at (0.3333, 0.6667, 0.0000), Si at (0.3917, 0.1959, 0.5000), Ni at (0.2041, 0.4081, 0.5000) and Ni at (0.5353, 0.0706, 0.0000).

---

Here is a relaxed structure of Zr3TiFe8 from the Alexandria database. Energies are from GGA-PBE.

The density of states at the Fermi level is 30.3 states/eV/cell. Its total energy is -8.72 eV per atom. As for the crystal system: trigonal. Its energy of formation from the pure elements is -280 meV per atom.

The space group is R3m (No. 160, hexagonal axes) and the conventional cell measures 4.9293, 4.9293 and 24.1590 Å, with angles of 90.00, 90.00 and 120.00 degrees. The inequivalent atoms are Zr at (0.0000, 0.0000, 0.0000), Zr at (0.0000, 0.0000, 0.1265), Zr at (0.0000, 0.0000, 0.5042), Ti at (0.0000, 0.0000, 0.6276), Fe at (0.0000, 0.0000, 0.3141), Fe at (0.0000, 0.0000, 0.8144), Fe at (0.9996, 0.4998, 0.5655) and Fe at (0.1672, 0.3345, 0.3967).

---

Here is a relaxed structure of KMgTlPb2 from the Alexandria database. Energies are from GGA-PBE.

The density of states at the Fermi level is 4.3 states/eV/cell. Its total energy is -2.56 eV per atom. As for the crystal system: tetragonal. Its energy of formation from the pure elements is -64 meV per atom.

The space group is I-4m2 (No. 119) and the conventional cell measures 4.949, 4.949 and 13.872 Å, with angles of 90.00, 90.00 and 90.00 degrees. The inequivalent atoms are K at (0.000, 0.000, 0.000), Mg at (0.000, 0.500, 0.250), Tl at (0.000, 0.500, 0.750) and Pb at (0.000, 0.000, 0.387).

---

Here is a relaxed structure of CsCaAgI4 from the Alexandria database. Energies are from GGA-PBE.

The density of states at the Fermi level is 0.0 states/eV/cell. Its total energy is -2.87 eV per atom. As for the crystal system: monoclinic.

The space group is P2_1/m (No. 11) and the conventional cell measures 7.511, 8.301 and 10.515 Å, with angles of 90.00, 110.30 and 90.00 degrees. The inequivalent atoms are Cs at (0.186, 0.250, 0.458), Ca at (0.339, 0.750, 0.056), Ag at (0.119, 0.250, 0.831), I at (0.092, 0.250, 0.091), I at (0.264, 0.750, 0.347) and I at (0.345, 0.513, 0.798).